# 1
VASP calculation (PBE) on LiCdInHg4 after structural relaxation.

Structure (POSCAR):
```
LiCdInHg4
1.0
2.860 -7.352 0.000
2.860 7.352 0.000
0.000 0.000 9.875
Li Cd In Hg
2 2 2 8
Direct
0.219 0.781 0.750 Li
0.781 0.219 0.250 Li
0.416 0.584 0.750 Cd
0.584 0.416 0.250 Cd
0.173 0.827 0.250 In
0.827 0.173 0.750 In
0.000 0.500 0.000 Hg
0.000 0.500 0.500 Hg
0.034 0.966 0.750 Hg
0.384 0.616 0.250 Hg
0.500 0.000 0.000 Hg
0.500 0.000 0.500 Hg
0.616 0.384 0.750 Hg
0.966 0.034 0.250 Hg
```

The value obtained for the volume is 29.66 Å³ per atom. Its calculated total energy is -0.96 eV per atom. The value obtained for the density of states at the Fermi level is 0.33 states/eV per atom. The value obtained for the total magnetic moment is 0.00 μB/f.u. Its symmetry is Cmcm.

# 2
VASP calculation (PBE) on LiCdIn2Hg6 after structural relaxation.

Structure (POSCAR):
```
LiCdIn2Hg6
1.0
5.804 0.000 0.000
1.124 6.146 0.000
2.321 1.012 6.927
Li Cd In Hg
1 1 2 6
Direct
0.000 0.000 0.000 Li
0.733 0.626 0.416 Cd
0.381 0.161 0.207 In
0.609 0.815 0.819 In
0.184 0.832 0.643 Hg
0.228 0.325 0.616 Hg
0.301 0.675 0.231 Hg
0.664 0.305 0.793 Hg
0.811 0.108 0.384 Hg
0.981 0.489 0.023 Hg
```

The value obtained for the volume is 24.71 Å³ per atom. Its calculated total energy is -1.07 eV per atom. The value obtained for the density of states at the Fermi level is 0.30 states/eV per atom. The value obtained for the total magnetic moment is 0.00 μB/f.u. Its symmetry is P1.